A.
Density functional theory data (PBE-GGA) for a relaxed Tb6Er crystal.

a b c (Å): 6.9293 6.9293 6.9293
angles (deg): 109.47 109.47 109.47
With the nearest neighbours (Å) after each atom.
Fractional positions:
Tb1 0.2500 0.7500 0.5000  4 Tb 2.83
Tb2 0.5000 0.7500 0.2500  4 Tb 2.83
Tb3 0.2500 0.5000 0.7500  4 Tb 2.83
Tb4 0.7500 0.2500 0.5000  4 Tb 2.83
Tb5 0.5000 0.2500 0.7500  4 Tb 2.83
Tb6 0.7500 0.5000 0.2500  4 Tb 2.83
Er1 0.0000 0.0000 0.0000  24 Tb 4.47

***

B.
Density functional theory data (PBE-GGA) for a relaxed Tb6Er crystal.

a b c (Å): 6.4617 6.4617 11.0074
angles (deg): 90.00 90.00 90.00
With the nearest neighbours (Å) after each atom.
Fractional positions:
Tb1 0.5000 0.5000 0.1387  1 Tb 3.05
Tb2 0.0000 0.0000 0.1387  1 Tb 3.05
Tb3 0.0000 0.0000 0.8613  1 Tb 3.05
Tb4 0.5000 0.5000 0.8613  1 Tb 3.05
Tb5 0.8321 0.6679 0.3616  8 Tb 3.07-3.44
Tb6 0.3321 0.8321 0.3616  8 Tb 3.07-3.44
Tb7 0.6679 0.1679 0.3616  8 Tb 3.07-3.44
Tb8 0.1679 0.3321 0.3616  8 Tb 3.07-3.44
Tb9 0.6679 0.8321 0.6384  8 Tb 3.07-3.44
Tb10 0.1679 0.6679 0.6384  8 Tb 3.07-3.44
Tb11 0.8321 0.3321 0.6384  8 Tb 3.07-3.44
Tb12 0.3321 0.1679 0.6384  8 Tb 3.07-3.44
Er1 0.5000 0.0000 0.0000  8 Tb 3.57
Er2 0.0000 0.5000 0.0000  8 Tb 3.57

***

Which is the most stable structure? B is the most stable.

***

A.
Density functional theory data (PBE-GGA) for a relaxed Tb2Er crystal.

a b c (Å): 6.5275 6.5275 6.5275
angles (deg): 60.00 60.00 60.00
With the nearest neighbours (Å) after each atom.
Fractional positions:
Tb1 0.1250 0.6250 0.6250  6 Tb 3.26
Tb2 0.6250 0.1250 0.6250  6 Tb 3.26
Tb3 0.6250 0.6250 0.6250  6 Tb 3.26
Tb4 0.6250 0.6250 0.1250  6 Tb 3.26
Er1 0.0000 0.0000 0.0000  12 Tb 3.83, 4 Er 4.00
Er2 0.2500 0.2500 0.2500  12 Tb 3.83, 4 Er 4.00

***

B.
Density functional theory data (PBE-GGA) for a relaxed Tb2Er crystal.

a b c (Å): 4.8017 4.8017 9.1986
angles (deg): 105.13 105.13 90.00
With the nearest neighbours (Å) after each atom.
Fractional positions:
Tb1 0.6516 0.6516 0.3032  5 Er 3.40, 4 Tb 3.53
Tb2 0.3484 0.3484 0.6968  5 Er 3.40, 4 Tb 3.53
Tb3 0.5000 0.0000 0.0000  8 Tb 3.40-3.53, 4 Er 3.51
Tb4 0.0000 0.5000 0.0000  8 Tb 3.40-3.53, 4 Er 3.51
Er1 0.1494 0.1494 0.2989  9 Tb 3.40-3.51
Er2 0.8506 0.8506 0.7011  9 Tb 3.40-3.51

***

C.
Density functional theory data (PBE-GGA) for a relaxed Tb2Er crystal.

a b c (Å): 4.1501 4.1501 6.2163
angles (deg): 109.46 109.46 90.08
With the nearest neighbours (Å) after each atom.
Fractional positions:
Tb1 0.1641 0.1641 0.3282  5 Er 3.44-3.68, 5 Tb 3.48-3.60
Tb2 0.8359 0.8359 0.6718  5 Er 3.44-3.68, 5 Tb 3.48-3.60
Er1 0.5000 0.5000 0.0000  10 Tb 3.44-3.68

***

Which is the most stable structure? C is the most stable.

***

A.
Density functional theory data (PBE-GGA) for a relaxed TbEr2Tc crystal.

a b c (Å): 3.4329 3.4329 8.8398
angles (deg): 90.00 90.00 90.00
With the nearest neighbours (Å) after each atom.
Fractional positions:
Tb1 0.5000 0.5000 0.5000  4 Tb 3.43, 8 Er 3.70
Tc1 0.5000 0.5000 0.0000  8 Er 2.92
Er1 0.0000 0.0000 0.8156  4 Tc 2.92, 1 Er 3.26
Er2 0.0000 0.0000 0.1844  4 Tc 2.92, 1 Er 3.26

***

B.
Density functional theory data (PBE-GGA) for a relaxed TbEr2Tc crystal.

a b c (Å): 6.2173 7.4444 9.0697
angles (deg): 90.00 90.00 90.00
With the nearest neighbours (Å) after each atom.
Fractional positions:
Tb1 0.6263 0.5414 0.2500  2 Tc 2.76-2.85
Tb2 0.8737 0.0414 0.2500  2 Tc 2.76-2.85
Tb3 0.3737 0.4586 0.7500  2 Tc 2.76-2.85
Tb4 0.1263 0.9586 0.7500  2 Tc 2.76-2.85
Er1 0.1559 0.6759 0.0635  3 Tc 2.84-3.14
Er2 0.3441 0.1759 0.4365  3 Tc 2.84-3.14
Er3 0.8441 0.3241 0.5635  3 Tc 2.84-3.14
Er4 0.6559 0.8241 0.9365  3 Tc 2.84-3.14
Er5 0.8441 0.3241 0.9365  3 Tc 2.84-3.14
Er6 0.6559 0.8241 0.5635  3 Tc 2.84-3.14
Er7 0.1559 0.6759 0.4365  3 Tc 2.84-3.14
Er8 0.3441 0.1759 0.0635  3 Tc 2.84-3.14
Tc1 0.0444 0.3840 0.2500  2 Tb 2.76-2.85, 4 Er 2.84-2.96
Tc2 0.4556 0.8840 0.2500  2 Tb 2.76-2.85, 4 Er 2.84-2.96
Tc3 0.9556 0.6160 0.7500  2 Tb 2.76-2.85, 4 Er 2.84-2.96
Tc4 0.5444 0.1160 0.7500  2 Tb 2.76-2.85, 4 Er 2.84-2.96

***

C.
Density functional theory data (PBE-GGA) for a relaxed TbEr2Tc crystal.

a b c (Å): 3.3948 3.3948 11.0798
angles (deg): 81.19 81.19 60.00
With the nearest neighbours (Å) after each atom.
Fractional positions:
Tb1 0.0000 0.0000 0.0000  6 Tb 3.39, 2 Er 3.44
Tc1 0.5000 0.5000 0.5000  6 Er 2.81
Er1 0.1052 0.1052 0.6844  3 Tc 2.81
Er2 0.8948 0.8948 0.3156  3 Tc 2.81

***

Which is the most stable structure? B is the most stable.

***

A.
Density functional theory data (PBE-GGA) for a relaxed TbEr3Tc crystal.

a b c (Å): 5.3413 5.3413 5.3413
angles (deg): 90.00 90.00 90.00
With the nearest neighbours (Å) after each atom.
Fractional positions:
Tb1 0.5000 0.5000 0.5000  12 Er 3.78
Tc1 0.0000 0.0000 0.0000  6 Er 2.67
Er1 0.0000 0.5000 0.0000  2 Tc 2.67
Er2 0.0000 0.0000 0.5000  2 Tc 2.67
Er3 0.5000 0.0000 0.0000  2 Tc 2.67

***

B.
Density functional theory data (PBE-GGA) for a relaxed TbEr3Tc crystal.

a b c (Å): 7.2364 7.2364 7.2138
angles (deg): 107.14 114.09 107.41
With the nearest neighbours (Å) after each atom.
Fractional positions:
Tb1 0.7085 0.0530 0.7616  1 Tc 2.68
Tb2 0.2915 0.9470 0.2384  1 Tc 2.68
Er1 0.8498 0.0556 0.2978  1 Tc 2.68
Er2 0.2422 0.4480 0.2978  1 Tc 2.68
Er3 0.7578 0.5520 0.7022  1 Tc 2.68
Er4 0.7033 0.4456 0.1488  1 Tc 2.68
Er5 0.1502 0.9444 0.7022  1 Tc 2.68
Er6 0.2967 0.5544 0.8512  1 Tc 2.68
Tc1 0.6267 0.7499 0.3766  1 Tb 2.68, 3 Er 2.68
Tc2 0.3733 0.2501 0.6234  1 Tb 2.68, 3 Er 2.68

***

Which is the most stable structure? B is the most stable.